No. 1
First-principles (GGA-PBE) data for Na2HgCO4 after structural relaxation, as listed in the Alexandria database.

Structure (CIF):
```
data_Na2HgCO4
_cell_length_a 12.0565
_cell_length_b 7.7695
_cell_length_c 7.4933
_cell_angle_alpha 90.00
_cell_angle_beta 128.14
_cell_angle_gamma 90.00
_space_group_name_H-M_alt 'C 1 2/c 1'
_space_group_IT_number 15
_space_group_name_Hall '-C 2yc'
loop_
_atom_site_label
_atom_site_type_symbol
_atom_site_fract_x
_atom_site_fract_y
_atom_site_fract_z
_atom_site_occupancy
Na1 Na 0.0000 0.0000 0.0000 1
Na2 Na 0.2500 0.2500 0.0000 1
Hg1 Hg 0.2500 0.2500 0.5000 1
C1 C 0.0000 0.5000 0.0000 1
O1 O 0.0001 0.3596 0.5586 1
O2 O 0.1693 0.0129 0.4165 1
```

## Properties
As for the electronic total energy: -5.049 eV/atom.

=====

No. 2
First-principles (GGA-PBE) data for Na2HgC2O6 after structural relaxation, as listed in the Alexandria database.

Structure (CIF):
```
data_Na2HgC2O6
_cell_length_a 9.2849
_cell_length_b 5.2546
_cell_length_c 6.3085
_cell_angle_alpha 90.00
_cell_angle_beta 116.12
_cell_angle_gamma 90.00
_space_group_name_H-M_alt 'C 1 2/m 1'
_space_group_IT_number 12
_space_group_name_Hall '-C 2y'
loop_
_atom_site_label
_atom_site_type_symbol
_atom_site_fract_x
_atom_site_fract_y
_atom_site_fract_z
_atom_site_occupancy
Na1 Na 0.1938 0.0000 0.1650 1
Hg1 Hg 0.0000 0.0000 0.5000 1
C1 C 0.0255 0.5000 0.2617 1
O1 O 0.0598 0.2872 0.8053 1
O2 O 0.1760 0.5000 0.3814 1
```

## Properties
As for the electronic total energy: -5.974 eV/atom.

=====

No. 3
First-principles (GGA-PBE) data for NaHgPd2C after structural relaxation, as listed in the Alexandria database.

Structure (CIF):
```
data_NaHgPd2C
_cell_length_a 4.7615
_cell_length_b 4.7615
_cell_length_c 5.1048
_cell_angle_alpha 90.00
_cell_angle_beta 90.00
_cell_angle_gamma 90.00
_space_group_name_H-M_alt 'P 4/m m m'
_space_group_IT_number 123
_space_group_name_Hall '-P 4 2'
loop_
_atom_site_label
_atom_site_type_symbol
_atom_site_fract_x
_atom_site_fract_y
_atom_site_fract_z
_atom_site_occupancy
Na1 Na 0.0000 0.0000 0.0000 1
Hg1 Hg 0.0000 0.0000 0.5000 1
Pd1 Pd 0.0000 0.5000 0.0000 1
C1 C 0.5000 0.5000 0.5000 1
```

## Properties
The energy of formation comes out at 2.14 eV/atom. The calculation puts the density of states at the Fermi level at 2.84 states/eV/f.u. As for the electronic total energy: -2.107 eV/atom.